Version A
Hg2SeI2 (PBE-GGA, optimized geometry); SG = P4/mbm (127)
1.0
8.0076 0.0000 0.0000
0.0000 8.0076 0.0000
0.0000 0.0000 5.7591
Hg I Se
4 4 2
Cartesian
6.2240 2.2202 0.0000
1.7835 5.7873 0.0000
2.2202 1.7835 0.0000
5.7873 6.2240 0.0000
5.4860 6.5254 2.8796
2.5216 1.4822 2.8796
1.4822 5.4860 2.8796
6.5254 2.5216 2.8796
0.0000 0.0000 0.0000
4.0038 4.0038 0.0000

=====

Version B
Hg2SeI2 (PBE-GGA, optimized geometry); SG = C2/m (12)
1.0
-6.4418 1.9933 4.4019
-2.2913 -6.1202 6.7841
0.8500 2.5228 7.4673
Hg Se I
4 2 4
Cartesian
-4.7792 -2.8904 9.0464
-3.1039 1.2863 9.6069
-1.9312 -1.7362 5.3258
-5.9519 0.1321 13.3275
-5.3895 -1.6501 14.9576
-2.4936 0.0461 3.6958
-6.3808 2.2422 11.7444
-3.1743 -1.9914 10.9880
-4.7088 0.3873 7.6653
-1.5023 -3.8462 6.9089

=====

Stability, lowest: version A

=====

Version A
HgSe2I (PBE-GGA, optimized geometry); SG = P1 (1)
1.0
-3.8081 -0.6342 -2.4559
-3.1675 -4.2009 6.3327
-1.0228 8.8814 0.1113
Se I Hg
4 2 2
Cartesian
-5.9801 0.1017 2.2114
-4.8384 -0.9071 5.4776
-4.0652 1.3343 5.9443
-3.7300 2.9787 0.3021
-3.2599 -1.0831 0.1908
-3.4867 5.0288 4.2335
-4.5048 5.3707 1.5522
-2.9742 1.7081 2.4402

=====

Version B
HgSe2I (PBE-GGA, optimized geometry); SG = P-1 (2)
1.0
-2.5853 2.6613 2.4969
-3.6820 -2.9738 0.6853
0.3961 -2.9305 5.9888
I Se Hg
1 2 1
Cartesian
-1.6430 -2.9522 3.3371
-4.6093 -3.6481 7.1908
-1.2620 0.4050 1.9802
-1.8410 -1.4869 0.3427

=====

Stability, lowest: version B

=====

Version A
HgSeI3 (PBE-GGA, optimized geometry); SG = Pm-3m (221)
1.0
5.9401 0.0000 0.0000
0.0000 5.9401 0.0000
0.0000 0.0000 5.9401
Se I Hg
1 3 1
Cartesian
2.9700 2.9700 2.9700
0.0000 2.9700 0.0000
2.9700 0.0000 0.0000
0.0000 0.0000 2.9700
0.0000 0.0000 0.0000

=====

Version B
HgSeI3 (PBE-GGA, optimized geometry); SG = Pm-3m (221)
1.0
-3.8041 4.0065 1.6995
-3.1497 -0.9768 -4.7472
-3.0032 -4.0503 2.8260
I Hg Se
3 1 1
Cartesian
-1.5016 -2.0252 1.4130
-1.5749 -0.4884 -2.3736
-1.9020 2.0032 0.8498
-4.9785 -0.5104 -0.1108
0.0000 0.0000 0.0000

=====

Stability, lowest: version A

=====

Version A
Hg3Se2I2 (PBE-GGA, optimized geometry); SG = C2/m (12)
1.0
11.1364 0.0380 0.0106
6.7754 8.8382 0.0106
4.5038 2.2319 10.1017
Se Hg I
8 12 8
Cartesian
10.1197 7.6669 7.5794
12.2959 3.4412 2.5435
7.7422 1.1830 2.5923
10.1857 7.6996 2.5435
5.6307 5.4439 2.5923
16.7849 5.6642 7.5306
14.6734 9.9251 7.5306
12.2299 3.4085 7.5794
7.8646 6.6652 3.1078
2.7203 1.3481 2.6097
14.5510 4.4429 7.0151
16.6182 5.6458 10.0859
14.5578 9.8035 10.0859
10.0670 2.2208 3.1078
7.2778 3.6065 7.3374
19.6953 9.7601 7.5132
12.3486 8.8873 7.0151
5.7974 5.4623 0.0370
15.1378 7.5016 2.7855
7.8578 1.3046 0.0370
0.0000 0.0000 0.0000
8.9677 4.4440 10.0805
17.8744 8.8577 5.1152
13.3231 6.6023 5.0371
4.5412 2.2504 5.0077
9.0925 4.5058 5.0858
13.4478 6.6641 0.0424
8.9559 4.4381 0.0106

=====

Version B
Hg3Se2I2 (PBE-GGA, optimized geometry); SG = C2/m (12)
1.0
-2.5859 -3.3653 -0.1215
4.6176 -3.3321 -5.9842
3.1738 -0.0373 7.6669
Hg Se I
3 2 2
Cartesian
4.7107 -3.5969 -0.6304
0.0000 0.0000 0.0000
0.4948 -3.1377 2.1916
3.2697 -5.2274 1.0127
1.9358 -1.5073 0.5485
2.4147 -2.0169 4.4714
2.7908 -4.7177 -2.9102

=====

Stability, lowest: version B

=====

Version A
Hg3SeI (PBE-GGA, optimized geometry); SG = R3c (161)
1.0
-2.5474 7.2149 -1.1133
-7.3713 1.6702 1.6300
-1.5759 4.4138 6.1496
Hg I Se
6 2 2
Cartesian
-4.9428 9.2808 3.5808
-4.5321 6.6402 0.7206
-8.1425 7.2583 2.0983
-6.4155 3.8654 3.0085
-3.2201 5.8859 4.4876
-6.8297 6.5019 5.8708
-8.5595 9.9030 4.9641
-2.8122 3.2536 1.6309
-11.4290 13.2229 6.6283
-5.6817 6.5735 3.2951

=====

Version B
Hg3SeI (PBE-GGA, optimized geometry); SG = Pm-3m (221)
1.0
5.8620 0.0000 0.0000
0.0000 5.8620 0.0000
0.0000 0.0000 5.8620
Hg Se I
3 1 1
Cartesian
2.9310 0.0000 0.0000
0.0000 0.0000 2.9310
0.0000 2.9310 0.0000
2.9310 2.9310 2.9310
0.0000 0.0000 0.0000

=====

Stability, lowest: version B

=====

Version A
HgTeSeI2 (PBE-GGA, optimized geometry); SG = P4/mmm (123)
1.0
-1.7084 5.1539 -1.9696
-5.5071 -1.4666 0.9391
0.3289 2.0984 5.2055
I Te Se Hg
2 1 1 1
Cartesian
-2.7535 -0.7333 0.4696
-0.8542 2.5770 -0.9848
0.1644 1.0492 2.6027
0.0000 0.0000 0.0000
-3.4433 2.8928 2.0875

=====

Version B
HgTeSeI2 (PBE-GGA, optimized geometry); SG = P4/mmm (123)
1.0
5.9623 0.0000 0.0000
0.0000 5.9623 0.0000
0.0000 0.0000 5.7232
I Hg Te Se
2 1 1 1
Cartesian
0.0000 2.9812 0.0000
2.9812 0.0000 0.0000
0.0000 0.0000 0.0000
0.0000 0.0000 2.8616
2.9812 2.9812 2.8616

=====

Stability, lowest: version B

=====

Version A
SiHg2I (PBE-GGA, optimized geometry); SG = I-42d (122)
1.0
-1.2433 -6.4611 -0.7433
-0.1278 -0.7324 6.5796
-6.9018 -2.4020 2.9304
Si I Hg
2 2 4
Cartesian
-0.6855 -3.5967 2.9182
-3.8576 -3.3655 6.2141
-4.4153 -6.2299 2.5526
0.0000 0.0000 0.0000
-6.3650 -8.0322 6.7334
-2.0687 -2.4268 4.6874
-2.4106 -4.1693 1.1550
-5.7016 -4.5626 4.9576

=====

Version B
SiHg2I (PBE-GGA, optimized geometry); SG = Fm-3m (225)
1.0
-4.1468 -2.5911 2.2498
-4.9634 2.0534 -0.3449
-3.6894 -2.3858 -3.1093
Hg I Si
2 1 1
Cartesian
-3.1999 -0.7309 -0.3011
-9.5998 -2.1926 -0.9033
-6.3998 -1.4617 -0.6022
0.0000 0.0000 0.0000

=====

Stability, lowest: version B

=====

Version A
SiHgI2 (PBE-GGA, optimized geometry); SG = I-42d (122)
1.0
-5.6823 -5.0032 4.6630
5.9805 -6.5761 0.2319
2.5153 -3.4474 7.8440
I Hg Si
4 2 2
Cartesian
2.2324 -6.8510 3.8573
-0.7511 -3.5571 3.7359
0.6487 -11.0695 10.1080
3.4970 -8.5757 7.7767
0.0000 0.0000 0.0000
-1.5089 -7.1201 7.4773
4.3224 -7.9065 5.2617
0.1491 -5.7896 2.4475

=====

Version B
SiHgI2 (PBE-GGA, optimized geometry); SG = Fm-3m (225)
1.0
3.3778 -2.3562 3.6898
1.5096 2.7789 4.5359
-1.9414 -1.5218 4.9488
I Si Hg
2 1 1
Cartesian
2.2094 -0.8243 9.8809
0.7365 -0.2748 3.2936
0.0000 0.0000 0.0000
1.4730 -0.5495 6.5873

=====

Stability, lowest: version B